# MgSc2Tl

A geometry-optimized MgSc2Tl structure (PBE, Alexandria via LeMat-Bulk).

Values from the calculation:
Space group: Cm (8)
Electronic total energy (eV per atom): -4.017
Density of states at the Fermi level (states/eV/f.u.): 3.92
E_form (eV/f.u.): 0.56

abc: 4.930 4.930 5.838
angles: 114.23 114.23 60.21
Sites, in units of the cell vectors:
Mg (0.000, 0.000, 0.000)
Sc (0.575, 0.575, 0.723)
Sc (0.790, 0.790, 0.363)
Tl (0.198, 0.198, 0.591)